## Zr3Zn3IrPt2 (GGA-PBE)

Data for a geometry-optimized Zr3Zn3IrPt2 structure.

CIF file:
```
data_Zr3Zn3IrPt2
_chemical_formula_sum 'Zr3 Zn3 Ir1 Pt2'
_space_group_name_H-M_alt 'P -6 2 m'
_space_group_IT_number 189
_space_group_name_Hall 'P -6 -2'
_cell_length_a 7.3678
_cell_length_b 7.3678
_cell_length_c 3.3264
_cell_angle_alpha 90.00
_cell_angle_beta 90.00
_cell_angle_gamma 120.00
loop_
_atom_site_label
_atom_site_type_symbol
_atom_site_fract_x
_atom_site_fract_y
_atom_site_fract_z
_atom_site_occupancy
Zr1 Zr 0.0000 0.6171 0.0000 1
Zn1 Zn 0.0000 0.2785 0.5000 1
Ir1 Ir 0.0000 0.0000 0.0000 1
Pt1 Pt 0.3333 0.6667 0.5000 1
```

Density   11174 kg/m3
ΔH_f (0 K)   -636 kJ/mol of formula units